Entry from the Alexandria database: MnAsBr2O after structural relaxation (PBE+U).

Values from the calculation:
* crystal system: tetragonal
* total energy: -18.46 eV per cell
* E above lowest polymorph: 0.000 eV/atom
* total moment: 4.9 μB/f.u.

Geometry as CIF:
```
data_MnAsBr2O
_cell_length_a 4.806
_cell_length_b 4.806
_cell_length_c 4.413
_cell_angle_alpha 90.00
_cell_angle_beta 90.00
_cell_angle_gamma 90.00
_symmetry_space_group_name_H-M 'P 4/m m m'
_symmetry_Int_Tables_number 123
_symmetry_space_group_name_Hall '-P 4 2'
loop_
_atom_site_label
_atom_site_type_symbol
_atom_site_fract_x
_atom_site_fract_y
_atom_site_fract_z
Mn1 Mn 0.000 0.000 0.000
As1 As 0.500 0.500 0.000
Br1 Br 0.000 0.500 0.500
O1 O 0.500 0.500 0.500
```